1.
Entry from Alexandria: a relaxed TiSiAs3 crystal (PBE).

Output
Offset from the most stable computed form, meV per atom: 201.6
Raw formation energy, meV per atom: 650
Fermi-level density of states, states/eV per cell: 6.01

abc: 4.710 4.710 4.710
angles: 90.00 90.00 90.00
Fractional coordinates of all 5 atoms:
Ti1 0.000 0.000 0.000
Si1 0.500 0.500 0.500
As1 0.000 0.500 0.500
As2 0.500 0.000 0.500
As3 0.500 0.500 0.000

***

2.
Entry from Alexandria: a relaxed KBP2 crystal (PBE).

Output
E_tot, eV/atom: -4.455
Fermi-level density of states, states/eV per cell: 0.08

abc: 7.083 7.083 7.083
angles: 136.81 136.81 62.73
Fractional coordinates of all 8 atoms:
K1 0.000 0.000 0.000
K2 0.750 0.250 0.500
B1 0.250 0.750 0.500
B2 0.500 0.500 0.000
P1 0.318 0.625 0.193
P2 0.375 0.568 0.693
P3 0.432 0.125 0.807
P4 0.875 0.682 0.307

***

3.
Entry from Alexandria: a relaxed AcPmLu2 crystal (PBE).

Output
Offset from the most stable computed form, meV per atom: 5.3
Fermi-level density of states, states/eV per cell: 3.84

abc: 11.780 11.780 11.780
angles: 17.94 17.94 17.94
Fractional coordinates of all 4 atoms:
Ac1 0.000 0.000 0.000
Pm1 0.500 0.500 0.500
Lu1 0.248 0.248 0.248
Lu2 0.752 0.752 0.752